{
  "formula": "VCo4W",
  "functional": "GGA-PBE",
  "state": "optimized geometry",
  "e_form_ev_per_atom": 0.04,
  "total_energy_ev_per_atom": -8.37,
  "relative_energy_mev_per_atom": 43,
  "spacegroup": "Imma, No. 74",
  "lattice_angstrom": [[3.863, 0.004, -1.829], [-1.606, 6.973, -3.382], [0.479, -1.471, 6.002]],
  "species": ["Co", "Co", "Co", "Co", "Co", "V", "W", "Co", "V", "Co", "Co", "W"],
  "frac_coords": [[0.757, 0.594, 0.515], [0.758, 0.921, 0.515], [0.009, 0.670, 0.019], [0.241, 0.080, 0.481], [0.492, 0.829, 0.985], [0.998, 0.998, 0.997], [0.501, 0.501, 0.001], [0.010, 0.349, 0.019], [0.252, 0.752, 0.503], [0.240, 0.401, 0.481], [0.493, 0.156, 0.985], [0.749, 0.249, 0.499]]
}


{
  "formula": "LaYNi2",
  "functional": "GGA-PBE",
  "state": "optimized geometry",
  "e_form_ev_per_atom": -0.21,
  "total_energy_ev_per_atom": -5.95,
  "relative_energy_mev_per_atom": 158,
  "spacegroup": "R-3m, No. 166",
  "lattice_angstrom": [[-3.701, -0.991, -1.153], [-2.126, -2.636, 2.131], [-4.401, 3.721, 3.976]],
  "species": ["Ni", "Ni", "La", "Y"],
  "frac_coords": [[0.997, 0.997, 0.008], [0.503, 0.503, 0.492], [0.750, 0.750, 0.750], [0.250, 0.250, 0.250]]
}


{
  "formula": "MnZnFe2",
  "functional": "GGA-PBE",
  "state": "optimized geometry",
  "e_form_ev_per_atom": 0.10,
  "total_energy_ev_per_atom": -6.74,
  "spacegroup": "Pmmm, No. 47",
  "lattice_angstrom": [[-1.926, 0.453, -2.189], [1.123, -3.526, -1.717], [-2.878, -1.953, 2.128]],
  "species": ["Fe", "Zn", "Mn", "Fe"],
  "frac_coords": [[0.500, 0.500, 0.000], [0.000, 0.500, 0.500], [0.500, 0.000, 0.500], [0.000, 0.000, 0.000]]
}


{
  "formula": "TbPm2Pb2",
  "functional": "GGA-PBE",
  "state": "optimized geometry",
  "e_form_ev_per_atom": -0.52,
  "total_energy_ev_per_atom": -4.83,
  "relative_energy_mev_per_atom": 0,
  "spacegroup": "P4/mbm, No. 127",
  "lattice_angstrom": [[4.526, 0.000, 0.000], [0.000, 8.307, 0.000], [0.000, 0.000, 8.307]],
  "species": ["Pb", "Pb", "Tb", "Pm", "Pm", "Pm", "Pb", "Tb", "Pb", "Pm"],
  "frac_coords": [[0.000, 0.364, 0.864], [0.000, 0.864, 0.636], [0.000, 0.000, 0.000], [0.500, 0.332, 0.168], [0.500, 0.832, 0.332], [0.500, 0.668, 0.832], [0.000, 0.636, 0.136], [0.000, 0.500, 0.500], [0.000, 0.136, 0.364], [0.500, 0.168, 0.668]]
}